[1]
# PmAs2Ru2 | the Alexandria database | PBE | optimized geometry
# Formation energy from the elements, kJ per mole of atoms: -71.2
# Final energy, eV per atom: -7.2579
# Space-group type: I4/mmm, No. 139
# D(E_F), states/eV/cell: 2.0
data_PmAs2Ru2
_space_group_name_H-M_alt 'P 1'
_space_group_IT_number 1
_space_group_name_Hall 'P 1'
_cell_length_a 4.209
_cell_length_b 4.209
_cell_length_c 5.957
_cell_angle_alpha 110.69
_cell_angle_beta 110.69
_cell_angle_gamma 90.00
loop_
_atom_site_label
_atom_site_type_symbol
_atom_site_fract_x
_atom_site_fract_y
_atom_site_fract_z
As1 As 0.371 0.371 0.741
As2 As 0.629 0.629 0.259
Pm1 Pm 0.000 0.000 0.000
Ru1 Ru 0.250 0.750 0.500
Ru2 Ru 0.750 0.250 0.500

=====

[2]
# LiDySn2 | the Alexandria database | PBE | optimized geometry
# Formation energy from the elements, kJ per mole of atoms: -53.7
# Final energy, eV per atom: -4.1873
# Offset from the most stable computed form, eV/atom: 0.000
# Space-group type: P4/mmm, No. 123
# D(E_F), states/eV/cell: 1.6
data_LiDySn2
_space_group_name_H-M_alt 'P 1'
_space_group_IT_number 1
_space_group_name_Hall 'P 1'
_cell_length_a 4.421
_cell_length_b 4.629
_cell_length_c 4.629
_cell_angle_alpha 90.00
_cell_angle_beta 90.00
_cell_angle_gamma 90.00
loop_
_atom_site_label
_atom_site_type_symbol
_atom_site_fract_x
_atom_site_fract_y
_atom_site_fract_z
Li1 Li 0.500 0.000 0.000
Dy1 Dy 0.500 0.500 0.500
Sn1 Sn 0.000 0.500 0.000
Sn2 Sn 0.000 0.000 0.500

=====

[3]
# Sm2ZnCo3Ge4 | the Alexandria database | PBE | optimized geometry
# Formation energy from the elements, kJ per mole of atoms: -51.2
# Final energy, eV per atom: -5.5808
# Space-group type: P-4m2, No. 115
# D(E_F), states/eV/cell: 7.2
data_Sm2ZnCo3Ge4
_space_group_name_H-M_alt 'P 1'
_space_group_IT_number 1
_space_group_name_Hall 'P 1'
_cell_length_a 4.126
_cell_length_b 4.126
_cell_length_c 9.927
_cell_angle_alpha 90.00
_cell_angle_beta 90.00
_cell_angle_gamma 90.00
loop_
_atom_site_label
_atom_site_type_symbol
_atom_site_fract_x
_atom_site_fract_y
_atom_site_fract_z
Ge1 Ge 0.000 0.500 0.355
Ge2 Ge 0.000 0.000 0.000
Ge3 Ge 0.500 0.500 0.000
Ge4 Ge 0.500 0.000 0.645
Co1 Co 0.000 0.000 0.500
Co2 Co 0.500 0.000 0.881
Co3 Co 0.000 0.500 0.119
Sm1 Sm 0.000 0.500 0.760
Sm2 Sm 0.500 0.000 0.240
Zn1 Zn 0.500 0.500 0.500

=====

[4]
# ZrTiMnMo | the Alexandria database | PBE | optimized geometry
# Formation energy from the elements, kJ per mole of atoms: -0.3
# Final energy, eV per atom: -9.1141
# Space-group type: F-43m, No. 216
# D(E_F), states/eV/cell: 6.1
data_ZrTiMnMo
_space_group_name_H-M_alt 'P 1'
_space_group_IT_number 1
_space_group_name_Hall 'P 1'
_cell_length_a 4.540
_cell_length_b 4.540
_cell_length_c 4.540
_cell_angle_alpha 60.00
_cell_angle_beta 60.00
_cell_angle_gamma 60.00
loop_
_atom_site_label
_atom_site_type_symbol
_atom_site_fract_x
_atom_site_fract_y
_atom_site_fract_z
Zr1 Zr 0.250 0.250 0.250
Mo1 Mo 0.000 0.000 0.000
Mn1 Mn 0.500 0.500 0.500
Ti1 Ti 0.750 0.750 0.750

=====

[5]
# KSc2Se | the Alexandria database | PBE | optimized geometry
# Uncorrected formation energy, eV per atom: -0.014
# Final energy, eV per atom: -4.3251
# Space-group type: I4/mmm, No. 139
# D(E_F), states/eV/cell: 2.9
data_KSc2Se
_space_group_name_H-M_alt 'P 1'
_space_group_IT_number 1
_space_group_name_Hall 'P 1'
_cell_length_a 6.286
_cell_length_b 6.286
_cell_length_c 6.286
_cell_angle_alpha 138.79
_cell_angle_beta 138.79
_cell_angle_gamma 59.69
loop_
_atom_site_label
_atom_site_type_symbol
_atom_site_fract_x
_atom_site_fract_y
_atom_site_fract_z
Sc1 Sc 0.000 0.000 0.000
Sc2 Sc 0.500 0.500 0.000
K1 K 0.750 0.250 0.500
Se1 Se 0.250 0.750 0.500

=====

[6]
# InNi2Au2 | the Alexandria database | PBE | optimized geometry
# Formation energy from the elements, kJ per mole of atoms: -0.8
# Final energy, eV per atom: -4.1798
# Offset from the most stable computed form, eV/atom: 0.040
# Space-group type: P4/mbm, No. 127
# D(E_F), states/eV/cell: 5.0
data_InNi2Au2
_space_group_name_H-M_alt 'P 1'
_space_group_IT_number 1
_space_group_name_Hall 'P 1'
_cell_length_a 6.608
_cell_length_b 6.608
_cell_length_c 3.728
_cell_angle_alpha 90.00
_cell_angle_beta 90.00
_cell_angle_gamma 90.00
loop_
_atom_site_label
_atom_site_type_symbol
_atom_site_fract_x
_atom_site_fract_y
_atom_site_fract_z
Ni1 Ni 0.872 0.628 0.000
Ni2 Ni 0.128 0.372 0.000
Ni3 Ni 0.372 0.872 0.000
Ni4 Ni 0.628 0.128 0.000
In1 In 0.500 0.500 0.000
In2 In 0.000 0.000 0.000
Au1 Au 0.835 0.335 0.500
Au2 Au 0.665 0.835 0.500
Au3 Au 0.165 0.665 0.500
Au4 Au 0.335 0.165 0.500

=====

[7]
# TbDy3P4 | the Alexandria database | PBE | optimized geometry
# Formation energy from the elements, kJ per mole of atoms: -155.8
# Final energy, eV per atom: -6.6244
# Space-group type: Cmmm, No. 65
# D(E_F), states/eV/cell: 0.8
data_TbDy3P4
_space_group_name_H-M_alt 'P 1'
_space_group_IT_number 1
_space_group_name_Hall 'P 1'
_cell_length_a 4.013
_cell_length_b 6.948
_cell_length_c 6.948
_cell_angle_alpha 109.47
_cell_angle_beta 90.00
_cell_angle_gamma 90.00
loop_
_atom_site_label
_atom_site_type_symbol
_atom_site_fract_x
_atom_site_fract_y
_atom_site_fract_z
P1 P 0.500 0.250 0.750
P2 P 0.500 0.750 0.250
P3 P 0.000 0.749 0.749
P4 P 0.000 0.251 0.251
Dy1 Dy 0.000 0.000 0.500
Dy2 Dy 0.500 0.500 0.500
Dy3 Dy 0.000 0.500 0.000
Tb1 Tb 0.500 0.000 0.000

=====

[8]
# ZnAg2P | the Alexandria database | PBE | optimized geometry
# Formation energy from the elements, kJ per mole of atoms: 21.4
# Final energy, eV per atom: -2.8748
# Offset from the most stable computed form, eV/atom: 0.058
# Space-group type: I-42d, No. 122
# D(E_F), states/eV/cell: 3.9
data_ZnAg2P
_space_group_name_H-M_alt 'P 1'
_space_group_IT_number 1
_space_group_name_Hall 'P 1'
_cell_length_a 4.025
_cell_length_b 4.025
_cell_length_c 9.303
_cell_angle_alpha 77.51
_cell_angle_beta 77.51
_cell_angle_gamma 90.00
loop_
_atom_site_label
_atom_site_type_symbol
_atom_site_fract_x
_atom_site_fract_y
_atom_site_fract_z
Zn1 Zn 0.750 0.250 0.500
Zn2 Zn 0.000 0.000 0.000
P1 P 0.250 0.750 0.500
P2 P 0.500 0.500 0.000
Ag1 Ag 0.875 0.867 0.750
Ag2 Ag 0.617 0.125 0.250
Ag3 Ag 0.375 0.383 0.750
Ag4 Ag 0.133 0.625 0.250